This record from Alexandria via LeMat-Bulk describes crystalline Cr4C3 at its relaxed geometry. The functional is PBE-GGA.

Unit cell a=8.5331 b=8.5331 c=8.5331 alpha=161.36 beta=161.36 gamma=26.47
Last column: nearest neighbours and their distance in Å.
Fractional positions:
Cr (0.8066, 0.8066, 0.0000)  5 C 1.96-2.04
Cr (0.1934, 0.1934, 0.0000)  5 C 1.96-2.04
Cr (0.5667, 0.5667, 0.0000)  1 C 1.95
Cr (0.4333, 0.4333, 0.0000)  1 C 1.95
C (0.0000, 0.0000, 0.0000)  8 Cr 2.25
C (0.6840, 0.6840, 0.0000)  6 Cr 1.95-2.04
C (0.3160, 0.3160, 0.0000)  6 Cr 1.95-2.04

**ΔE_f**: 0.25 eV/atom
**Crystal system**: tetragonal
**Total magnetic moment**: 0.0 μB/f.u.
**Fermi-level density of states**: 6.07 states/eV/cell
**Space-group type**: I4/mmm (139)

This record from Alexandria via LeMat-Bulk describes crystalline Cr4C3 at its relaxed geometry. The functional is PBE-GGA.

Unit cell a=4.0070 b=4.0070 c=4.0070 alpha=90.00 beta=90.00 gamma=90.00
Last column: nearest neighbours and their distance in Å.
Fractional positions:
Cr (0.0000, 0.0000, 0.0000)  6 C 2.00
Cr (0.0000, 0.5000, 0.5000)  4 C 2.00
Cr (0.5000, 0.0000, 0.5000)  4 C 2.00
Cr (0.5000, 0.5000, 0.0000)  4 C 2.00
C (0.0000, 0.5000, 0.0000)  6 Cr 2.00
C (0.0000, 0.0000, 0.5000)  6 Cr 2.00
C (0.5000, 0.0000, 0.0000)  6 Cr 2.00

**ΔE_f**: 0.15 eV/atom
**Crystal system**: cubic
**Total magnetic moment**: 0.7 μB/f.u.
**Fermi-level density of states**: 5.53 states/eV/cell
**Space-group type**: Pm-3m (221)

This record from Alexandria via LeMat-Bulk describes crystalline CrC at its relaxed geometry. The functional is PBE-GGA.

Unit cell a=4.0392 b=4.0392 c=4.0392 alpha=90.00 beta=90.00 gamma=90.00
Last column: nearest neighbours and their distance in Å.
Fractional positions:
Cr (0.3832, 0.8832, 0.6168)  4 C 2.03-2.11
Cr (0.1168, 0.1168, 0.1168)  4 C 2.03-2.11
Cr (0.6168, 0.3832, 0.8832)  4 C 2.03-2.11
Cr (0.8832, 0.6168, 0.3832)  4 C 2.03-2.11
C (0.0934, 0.5934, 0.9066)  4 Cr 2.03-2.11
C (0.4066, 0.4066, 0.4066)  4 Cr 2.03-2.11
C (0.9066, 0.0934, 0.5934)  4 Cr 2.03-2.11
C (0.5934, 0.9066, 0.0934)  4 Cr 2.03-2.11

**ΔE_f**: 0.51 eV/atom
**Crystal system**: cubic
**Total magnetic moment**: 0.0 μB/f.u.
**Fermi-level density of states**: 4.47 states/eV/cell
**Space-group type**: P2_13 (198)

This record from Alexandria via LeMat-Bulk describes crystalline CrC at its relaxed geometry. The functional is PBE-GGA.

Unit cell a=5.9909 b=5.9909 c=5.9909 alpha=90.00 beta=90.00 gamma=90.00
Last column: nearest neighbours and their distance in Å.
Fractional positions:
Cr (0.3447, 0.3447, 0.3447)  4 C 1.88-1.91
Cr (0.3447, 0.6553, 0.6553)  4 C 1.88-1.91
Cr (0.6553, 0.3447, 0.6553)  4 C 1.88-1.91
Cr (0.6553, 0.6553, 0.3447)  4 C 1.88-1.91
Cr (0.8447, 0.8447, 0.8447)  4 C 1.88-1.91
Cr (0.8447, 0.1553, 0.1553)  4 C 1.88-1.91
Cr (0.1553, 0.8447, 0.1553)  4 C 1.88-1.91
Cr (0.1553, 0.1553, 0.8447)  4 C 1.88-1.91
C (0.1631, 0.1631, 0.1631)  4 Cr 1.88-1.91
C (0.1631, 0.8369, 0.8369)  4 Cr 1.88-1.91
C (0.8369, 0.1631, 0.8369)  4 Cr 1.88-1.91
C (0.8369, 0.8369, 0.1631)  4 Cr 1.88-1.91
C (0.6631, 0.6631, 0.6631)  4 Cr 1.88-1.91
C (0.6631, 0.3369, 0.3369)  4 Cr 1.88-1.91
C (0.3369, 0.6631, 0.3369)  4 Cr 1.88-1.91
C (0.3369, 0.3369, 0.6631)  4 Cr 1.88-1.91

**ΔE_f**: 0.64 eV/atom
**Crystal system**: cubic
**Total magnetic moment**: 0.0 μB/f.u.
**Fermi-level density of states**: 12.24 states/eV/cell
**Space-group type**: I-43m (217)

This record from Alexandria via LeMat-Bulk describes crystalline Cr2C3 at its relaxed geometry. The functional is PBE-GGA.

Unit cell a=3.5361 b=3.5361 c=3.9688 alpha=90.00 beta=90.00 gamma=120.00
Last column: nearest neighbours and their distance in Å.
Fractional positions:
Cr (0.6667, 0.3333, 0.2134)  8 C 1.98-2.21
Cr (0.3333, 0.6667, 0.7866)  8 C 1.98-2.21
C (0.0000, 0.0000, 0.0000)  6 Cr 2.21, 6 C 2.34
C (0.6667, 0.3333, 0.7112)  5 Cr 1.98-2.06
C (0.3333, 0.6667, 0.2888)  5 Cr 1.98-2.06

**ΔE_f**: 1.14 eV/atom
**Crystal system**: trigonal
**Total magnetic moment**: 0.0 μB/f.u.
**Fermi-level density of states**: 3.04 states/eV/cell
**Space-group type**: P-3m1 (164)

This record from Alexandria via LeMat-Bulk describes crystalline Cr7C5 at its relaxed geometry. The functional is PBE-GGA.

Unit cell a=5.4292 b=5.4292 c=5.4292 alpha=106.20 beta=106.20 gamma=116.24
Last column: nearest neighbours and their distance in Å.
Fractional positions:
Cr (0.3318, 0.3318, 0.0000)  5 C 2.05-2.19
Cr (0.4907, 0.9907, 0.5000)  4 Cr 2.17-2.24, 4 C 2.32
Cr (0.9907, 0.4907, 0.5000)  4 Cr 2.17-2.24, 4 C 2.32
Cr (0.7503, 0.9935, 0.2432)  5 C 2.04-2.26, 4 Cr 2.17-2.24
Cr (0.7503, 0.5071, 0.7568)  5 C 2.04-2.26, 4 Cr 2.17-2.24
Cr (0.5071, 0.7503, 0.7568)  5 C 2.04-2.26, 4 Cr 2.17-2.24
Cr (0.9935, 0.7503, 0.2432)  5 C 2.04-2.26, 4 Cr 2.17-2.24
C (0.9748, 0.9748, 0.0000)  5 Cr 2.04-2.05
C (0.6973, 0.2581, 0.0000)  7 Cr 2.13-2.32
C (0.2581, 0.6973, 0.0000)  7 Cr 2.13-2.32
C (0.6973, 0.6973, 0.4391)  7 Cr 2.13-2.32
C (0.2581, 0.2581, 0.5609)  7 Cr 2.13-2.32

**ΔE_f**: 0.80 eV/atom
**Crystal system**: tetragonal
**Total magnetic moment**: 2.6 μB/f.u.
**Fermi-level density of states**: 7.90 states/eV/cell
**Space-group type**: I4mm (107)

This record from Alexandria via LeMat-Bulk describes crystalline Cr5C2 at its relaxed geometry. The functional is PBE-GGA.

Unit cell a=4.5641 b=5.1432 c=6.2004 alpha=97.00 beta=111.60 gamma=90.00
Last column: nearest neighbours and their distance in Å.
Fractional positions:
Cr (0.1833, 0.4215, 0.1919)  2 C 2.01-2.03
Cr (0.9914, 0.0785, 0.8081)  2 C 2.01-2.03
Cr (0.1870, 0.6898, 0.5623)  3 C 2.03-2.19
Cr (0.6247, 0.8102, 0.4377)  3 C 2.03-2.19
Cr (0.8130, 0.3102, 0.4377)  3 C 2.03-2.19
Cr (0.3753, 0.1898, 0.5623)  3 C 2.03-2.19
Cr (0.0086, 0.9215, 0.1919)  2 C 2.01-2.03
Cr (0.8167, 0.5785, 0.8081)  2 C 2.01-2.03
Cr (0.5908, 0.2500, 0.0000)  4 C 2.07
Cr (0.4092, 0.7500, 0.0000)  4 C 2.07
C (0.1996, 0.4132, 0.7756)  7 Cr 2.01-2.19
C (0.4239, 0.0868, 0.2244)  7 Cr 2.01-2.19
C (0.8004, 0.5868, 0.2244)  7 Cr 2.01-2.19
C (0.5761, 0.9132, 0.7756)  7 Cr 2.01-2.19

**ΔE_f**: -0.11 eV/atom
**Crystal system**: monoclinic
**Total magnetic moment**: 0.0 μB/f.u.
**Fermi-level density of states**: 12.52 states/eV/cell
**Space-group type**: C2/c (15)

This record from Alexandria via LeMat-Bulk describes crystalline CrC3 at its relaxed geometry. The functional is PBE-GGA.

Unit cell a=11.8212 b=11.8212 c=11.8212 alpha=167.67 beta=167.67 gamma=17.46
Last column: nearest neighbours and their distance in Å.
Fractional positions:
Cr (0.6796, 0.6796, 0.0000)  8 C 1.96-2.08
Cr (0.3204, 0.3204, 0.0000)  8 C 1.96-2.08
C (0.0000, 0.5000, 0.5000)  4 C 1.79
C (0.5000, 0.0000, 0.5000)  4 C 1.79
C (0.7500, 0.2500, 0.5000)  4 C 1.79
C (0.2500, 0.7500, 0.5000)  4 C 1.79
C (0.8539, 0.8539, 0.0000)  4 Cr 1.96
C (0.1461, 0.1461, 0.0000)  4 Cr 1.96

**ΔE_f**: 1.61 eV/atom
**Crystal system**: tetragonal
**Total magnetic moment**: 0.0 μB/f.u.
**Fermi-level density of states**: 3.98 states/eV/cell
**Space-group type**: I4/mmm (139)

This record from Alexandria via LeMat-Bulk describes crystalline Cr3C2 at its relaxed geometry. The functional is PBE-GGA.

Unit cell a=6.2469 b=5.2425 c=4.8836 alpha=76.09 beta=54.55 gamma=49.36
Last column: nearest neighbours and their distance in Å.
Fractional positions:
Cr (0.2695, 0.1557, 0.9041)  4 C 1.93-2.08
Cr (0.6707, 0.9041, 0.1557)  4 C 1.93-2.08
Cr (0.3459, 0.5793, 0.9805)  4 C 1.93-2.08
Cr (0.0943, 0.9805, 0.5793)  4 C 1.93-2.08
Cr (0.8969, 0.6031, 0.6031)  4 C 2.01-2.05
Cr (0.6469, 0.3531, 0.3531)  4 C 2.01-2.05
C (0.6688, 0.1045, 0.7326)  6 Cr 1.93-2.08
C (0.4941, 0.7326, 0.1045)  6 Cr 1.93-2.08
C (0.5174, 0.7559, 0.5812)  6 Cr 1.93-2.08
C (0.1455, 0.5812, 0.7559)  6 Cr 1.93-2.08

**ΔE_f**: 0.24 eV/atom
**Crystal system**: orthorhombic
**Total magnetic moment**: 0.0 μB/f.u.
**Fermi-level density of states**: 10.67 states/eV/cell
**Space-group type**: Fdd2 (43)

This record from Alexandria via LeMat-Bulk describes crystalline CrC at its relaxed geometry. The functional is PBE-GGA.

Unit cell a=3.8034 b=3.8034 c=5.5596 alpha=70.56 beta=70.56 gamma=41.17
Last column: nearest neighbours and their distance in Å.
Fractional positions:
Cr (0.3510, 0.3510, 0.2989)  5 C 2.01-2.06
Cr (0.0158, 0.0158, 0.6197)  6 C 1.98-2.12
Cr (0.2044, 0.2044, 0.9540)  7 C 2.04-2.27
C (0.9070, 0.9070, 0.0005)  6 Cr 1.98-2.06, 1 C 2.09
C (0.7236, 0.7236, 0.6543)  5 Cr 2.02-2.10, 1 C 2.25
C (0.6316, 0.6316, 0.3059)  5 Cr 2.01-2.12, 1 C 2.09

**ΔE_f**: 0.23 eV/atom
**Crystal system**: monoclinic
**Total magnetic moment**: 0.0 μB/f.u.
**Fermi-level density of states**: 2.94 states/eV/cell
**Space-group type**: Cm (8)

This record from Alexandria via LeMat-Bulk describes crystalline CrC at its relaxed geometry. The functional is PBE-GGA.

Unit cell a=6.3688 b=6.3688 c=6.3688 alpha=22.96 beta=22.96 gamma=22.96
Last column: nearest neighbours and their distance in Å.
Fractional positions:
Cr (0.1126, 0.1126, 0.1126)  3 C 2.38, 9 Cr 2.49-2.53
Cr (0.8874, 0.8874, 0.8874)  3 C 2.38, 9 Cr 2.49-2.53
C (0.3220, 0.3220, 0.3220)  3 C 1.52
C (0.6780, 0.6780, 0.6780)  3 C 1.52

**ΔE_f**: 0.64 eV/atom
**Crystal system**: trigonal
**Total magnetic moment**: 0.3 μB/f.u.
**Fermi-level density of states**: 3.38 states/eV/cell
**Space-group type**: R-3m (166)

This record from Alexandria via LeMat-Bulk describes crystalline CrC3 at its relaxed geometry. The functional is PBE-GGA.

Unit cell a=3.6820 b=3.6820 c=3.6820 alpha=113.48 beta=113.48 gamma=113.48
Last column: nearest neighbours and their distance in Å.
Fractional positions:
Cr (0.0000, 0.5000, 0.5000)  6 C 2.02
C (0.0000, 0.0000, 0.0000)  2 Cr 2.02, 4 C 2.02
C (0.5000, 0.0000, 0.5000)  4 C 2.02, 2 Cr 2.02
C (0.5000, 0.5000, 0.0000)  4 C 2.02, 2 Cr 2.02

**ΔE_f**: 2.27 eV/atom
**Crystal system**: trigonal
**Total magnetic moment**: 0.1 μB/f.u.
**Fermi-level density of states**: 2.89 states/eV/cell
**Space-group type**: R-3m (166)